CuRu2Rh: optimized geometry, PBE.

Calculated values
space-group type: R-3m (166)
energy: -7.315 eV per atom
energy relative to the elements: 0.184 eV per atom
offset from the most stable computed form: 66 meV per atom
DOS(E_F): 1.08 states/eV/atom

Cell lengths 8.889, 8.889, 8.889 Å; angles 17.41, 17.41, 17.41 degrees
Fractional positions:
1 Rh 0.750 0.750 0.750
2 Ru 0.999 0.999 0.999
3 Ru 0.501 0.501 0.501
4 Cu 0.250 0.250 0.250